{
  "formula": "CeHg2",
  "functional": "PBE",
  "state": "optimized geometry",
  "lattice": [[3.501, -2.758, 0.000], [3.501, 2.758, 0.000], [-1.391, 0.000, 4.282]],
  "species": ["Ce", "Hg", "Hg"],
  "frac_coords": [[0.000, 0.000, 0.000], [0.341, 0.341, 0.660], [0.659, 0.659, 0.340]],
  "delta_e_f_ev_per_atom": -0.277,
  "total_magnetization_mub_per_cell": 0.8
}